First-principles (PBE) data for a relaxed structure of TbTl2P2S6, as listed in the Alexandria database.

a b c (Å): 11.579 6.890 8.011
angles (deg): 90.00 117.66 90.00
Space group C2/m (No. 12)
Unique sites:
Tb 0.000 0.000 0.000
Tl 0.206 0.000 0.690
P 0.046 0.500 0.679
S 0.051 0.256 0.295
S 0.241 0.500 0.885

## Properties
formation energy (no corrections) = -590 meV per atom
raw total energy = -4.677 eV/atom